[1]
# Na2TeP2

Crystalline Na2TeP2 at its relaxed geometry (PBE, Alexandria).

The value obtained for the total energy is -34.214 eV per cell. The uncorrected formation energy is -101 meV/atom. Its energy above the most stable polymorph in this dataset is 0.126 eV/atom.

It has space group I4/mmm (No. 139), with a = 5.8908 Å, b = 5.8908 Å, c = 7.5159 Å, α = 90.00°, β = 90.00° and γ = 90.00°. The inequivalent atoms are Na at (0.0000, 0.5000, 0.2500), Te at (0.0000, 0.0000, 0.0000) and P at (0.0000, 0.0000, 0.3611).

[2]
# NaTe2P2

Crystalline NaTe2P2 at its relaxed geometry (PBE, Alexandria).

The value obtained for the total energy is -35.989 eV per cell. The uncorrected formation energy is 86 meV/atom. Its energy above the most stable polymorph in this dataset is 0.000 eV/atom.

It has space group I4/mmm (No. 139), with a = 4.3778 Å, b = 4.3778 Å, c = 15.0918 Å, α = 90.00°, β = 90.00° and γ = 90.00°. The inequivalent atoms are Na at (0.0000, 0.0000, 0.0000), Te at (0.0000, 0.5000, 0.2500) and P at (0.0000, 0.0000, 0.4342).